1.
This record from Alexandria describes Zn2FeTcPd after structural relaxation. The functional is PBE.

Cell lengths 4.602, 4.602, 4.935 Å; angles 90.00, 90.00, 90.00 degrees
Space group P4/mmm (No. 123)
One atom of each set of equivalent atoms:
Zn 0.000 0.500 0.000
Fe 0.000 0.000 0.500
Tc 0.500 0.500 0.500
Pd 0.500 0.500 0.000

E_tot = -0.151 Ha/atom
Crystal system = tetragonal

***

2.
This record from Alexandria describes TmSiB after structural relaxation. The functional is PBE.

Cell lengths 3.503, 3.984, 12.384 Å; angles 90.00, 90.00, 90.00 degrees
Space group Imma (No. 74)
One atom of each set of equivalent atoms:
Tm 0.000 0.250 0.136
Si 0.000 0.250 0.550
B 0.000 0.250 0.717

Energy above the lowest structure with this stoichiometry = 0.095 eV/atom
Crystal system = orthorhombic
ΔE_f (raw) = -0.56 eV/atom

***

Number 1: theoretical density 6.21 Mg/m³. Number 2: theoretical density 7.99 Mg/m³.